PBE-GGA Pr2ScPd, optimized geometry; energy above the most stable polymorph in this dataset = 0 meV/atom; crystal system = tetragonal; ΔH_f (0 K) = -0.2937 eV per atom; calculated total energy = -5.565 eV per atom; size of the total moment = 0.000 μB per cell; space group = P4/mmm
1.0
-1.7466 2.9846 -1.5051
-2.6893 -2.2632 -1.3671
-4.0368 0.8950 6.4595
Pr Sc Pd
2 1 1
Cartesian
-3.1389 0.6959 5.0227 Pr
-0.8979 0.1991 1.4368 Pr
-4.2364 0.8081 1.7936 Sc
-2.2180 0.3607 -1.4361 Pd